{
  "formula": "KTl2HRh",
  "functional": "GGA-PBE",
  "state": "optimized geometry",
  "lattice_angstrom": [[-1.795, 3.010, 3.843], [-5.675, -2.319, -0.834], [1.034, -3.767, 3.434]],
  "species": ["Rh", "Tl", "Tl", "K", "H"],
  "frac_coords": [[0.000, 0.000, 0.000], [0.000, 0.000, 0.500], [0.500, 0.000, 0.000], [0.000, 0.500, 0.000], [0.500, 0.500, 0.500]],
  "m_tot_mub_per_fu": 0.0,
  "crystal_system": "tetragonal",
  "energy_ev_per_atom": -2.975,
  "spacegroup": "P4/mmm, No. 123"
}

***

{
  "formula": "KH7Ru2",
  "functional": "GGA-PBE",
  "state": "optimized geometry",
  "lattice_angstrom": [[-2.303, -1.167, 2.012], [-0.720, -4.251, -3.290], [3.754, -0.346, 4.096]],
  "species": ["H", "H", "H", "H", "H", "H", "H", "Ru", "Ru", "K"],
  "frac_coords": [[0.000, 0.628, 0.257], [0.500, 0.500, 0.000], [0.500, 0.037, 0.690], [0.500, 0.963, 0.310], [0.500, 0.347, 0.310], [0.000, 0.372, 0.743], [0.500, 0.653, 0.690], [0.500, 0.692, 0.383], [0.500, 0.308, 0.617], [0.000, 0.000, 0.000]],
  "m_tot_mub_per_fu": 0.0,
  "crystal_system": "orthorhombic",
  "energy_ev_per_atom": -4.243,
  "spacegroup": "Cmmm, No. 65"
}

***

{
  "formula": "KH2Ru2",
  "functional": "GGA-PBE",
  "state": "optimized geometry",
  "lattice_angstrom": [[-0.846, 3.350, -1.098], [-3.227, -0.281, 1.629], [0.284, 3.753, 5.247]],
  "species": ["H", "H", "K", "Ru", "Ru"],
  "frac_coords": [[0.313, 0.313, 0.373], [0.687, 0.687, 0.627], [0.000, 0.000, 0.000], [0.750, 0.250, 0.500], [0.250, 0.750, 0.500]],
  "m_tot_mub_per_fu": 0.0,
  "crystal_system": "tetragonal",
  "energy_ev_per_atom": -4.814,
  "relative_energy_ev_per_atom": 0.000,
  "spacegroup": "I4/mmm, No. 139"
}

***

{
  "formula": "K3H7Ru",
  "functional": "GGA-PBE",
  "state": "optimized geometry",
  "lattice_angstrom": [[5.510, -0.043, 2.510], [-0.708, 5.464, 2.510], [0.860, 0.971, 5.858]],
  "species": ["K", "K", "K", "H", "H", "H", "H", "H", "H", "H", "Ru"],
  "frac_coords": [[0.713, 0.212, 0.530], [0.451, 0.451, 0.053], [0.212, 0.713, 0.530], [0.717, 0.104, 0.133], [0.760, 0.760, 0.433], [0.771, 0.771, 0.020], [0.021, 0.247, 0.687], [0.162, 0.162, 0.023], [0.247, 0.021, 0.687], [0.104, 0.717, 0.133], [0.967, 0.967, 0.021]],
  "m_tot_mub_per_fu": 0.1,
  "crystal_system": "monoclinic",
  "energy_ev_per_atom": -3.547,
  "spacegroup": "Cm, No. 8"
}